*one*
AlTcAs: relaxed, GGA-PBE.

abc: 6.728 6.466 2.916
angles: 82.33 72.24 25.43
Element x y z (fractional)
Tc: 0.669 0.669 0.331
As: 0.322 0.322 0.678
Al: 0.009 0.009 0.991

Computed properties:
The calculation puts the calculated density at 6.8 g cm⁻³. As for the space group: Fmm2, No. 42. The total magnetization is 0.00 μB/f.u.



*two*
AlTcAs: relaxed, GGA-PBE.

abc: 4.190 4.190 3.179
angles: 90.00 90.00 120.00
Element x y z (fractional)
Al: 0.000 0.000 0.000
Tc: 0.333 0.667 0.500
As: 0.667 0.333 0.500

Computed properties:
The calculation puts the calculated density at 6.9 g cm⁻³. As for the space group: P-6m2, No. 187. The total magnetization is 0.00 μB/f.u.



Stability, highest: *two*



*one*
AlTe2As: relaxed, GGA-PBE.

abc: 4.129 4.130 6.034
angles: 90.00 90.00 90.00
Element x y z (fractional)
Al: 0.000 0.000 0.377
As: 0.500 0.500 0.874
Te: 0.500 0.500 0.374
Te: 0.000 0.000 0.875

Computed properties:
The calculation puts the calculated density at 5.8 g cm⁻³. As for the space group: P4mm, No. 99. The total magnetization is 0.00 μB/f.u.



*two*
AlTe2As: relaxed, GGA-PBE.

abc: 3.530 3.530 9.017
angles: 90.00 90.00 90.00
Element x y z (fractional)
Te: 0.500 0.500 0.304
Te: 0.000 0.000 0.951
As: 0.500 0.500 0.588
Al: 0.000 0.000 0.658

Computed properties:
The calculation puts the calculated density at 5.3 g cm⁻³. As for the space group: P4mm, No. 99. The total magnetization is 0.00 μB/f.u.



*three*
AlTe2As: relaxed, GGA-PBE.

abc: 4.340 4.340 7.896
angles: 90.00 90.00 125.72
Element x y z (fractional)
As: 0.500 0.500 0.750
Te: 0.000 0.000 0.494
Te: 0.000 0.000 0.006
Al: 0.500 0.500 0.250

Computed properties:
The calculation puts the calculated density at 4.9 g cm⁻³. As for the space group: Cmmm, No. 65. The total magnetization is 0.00 μB/f.u.



*four*
AlTe2As: relaxed, GGA-PBE.

abc: 7.295 7.295 4.286
angles: 72.95 72.95 32.17
Element x y z (fractional)
Te: 0.399 0.399 0.601
Te: 0.101 0.101 0.899
As: 0.250 0.250 0.250
Al: 0.750 0.750 0.750

Computed properties:
The calculation puts the calculated density at 5.1 g cm⁻³. As for the space group: Immm, No. 71. The total magnetization is 0.00 μB/f.u.



Stability, highest: *two*



*one*
AlTe2As: relaxed, GGA-PBE.

abc: 8.454 8.454 8.454
angles: 153.00 153.00 38.56
Element x y z (fractional)
As: 0.750 0.250 0.500
Te: 0.250 0.750 0.500
Te: 0.000 0.000 0.000
Al: 0.500 0.500 0.000

Computed properties:
The calculation puts the calculated density at 4.8 g cm⁻³. As for the space group: I-4m2, No. 119. The total magnetization is 0.00 μB/f.u.



*two*
AlTe2As: relaxed, GGA-PBE.

abc: 5.112 5.112 5.112
angles: 60.00 60.00 60.00
Element x y z (fractional)
Al: 0.000 0.000 0.000
As: 0.500 0.500 0.500
Te: 0.750 0.750 0.750
Te: 0.250 0.250 0.250

Computed properties:
The calculation puts the calculated density at 6.3 g cm⁻³. As for the space group: Fm-3m, No. 225. The total magnetization is 0.00 μB/f.u.



*three*
AlTe2As: relaxed, GGA-PBE.

abc: 7.410 7.410 6.691
angles: 56.38 56.38 90.00
Element x y z (fractional)
As: 0.000 0.000 0.000
As: 0.750 0.250 0.500
Al: 0.500 0.500 0.000
Al: 0.250 0.750 0.500
Te: 0.608 0.125 0.250
Te: 0.142 0.625 0.250
Te: 0.875 0.858 0.750
Te: 0.375 0.392 0.750

Computed properties:
The calculation puts the calculated density at 5.2 g cm⁻³. As for the space group: I-42d, No. 122. The total magnetization is 0.00 μB/f.u.



Stability, highest: *three*



*one*
AlTe2As: relaxed, GGA-PBE.

abc: 11.791 11.791 11.791
angles: 15.30 15.30 15.30
Element x y z (fractional)
Te: 0.919 0.919 0.919
Te: 0.081 0.081 0.081
Al: 0.000 0.000 0.000
As: 0.500 0.500 0.500

Computed properties:
The calculation puts the calculated density at 6.0 g cm⁻³. As for the space group: R-3m, No. 166. The total magnetization is 0.00 μB/f.u.



*two*
AlTe2As: relaxed, GGA-PBE.

abc: 5.128 5.128 5.128
angles: 60.00 60.00 60.00
Element x y z (fractional)
Al: 0.500 0.500 0.500
Te: 0.750 0.750 0.750
Te: 0.000 0.000 0.000
As: 0.250 0.250 0.250

Computed properties:
The calculation puts the calculated density at 6.2 g cm⁻³. As for the space group: F-43m, No. 216. The total magnetization is 0.00 μB/f.u.



*three*
AlTe2As: relaxed, GGA-PBE.

abc: 6.421 6.421 6.421
angles: 145.14 134.40 58.66
Element x y z (fractional)
Te: 0.682 0.182 0.500
Te: 0.972 0.972 0.000
As: 0.341 0.841 0.500
Al: 0.505 0.505 0.000

Computed properties:
The calculation puts the calculated density at 5.5 g cm⁻³. As for the space group: Imm2, No. 44. The total magnetization is 0.00 μB/f.u.



Stability, highest: *three*



*one*
Ti2AlAs2: relaxed, GGA-PBE.

abc: 7.037 7.037 3.358
angles: 90.00 90.00 90.00
Element x y z (fractional)
Ti: 0.146 0.646 0.500
Ti: 0.354 0.146 0.500
Ti: 0.854 0.354 0.500
Ti: 0.646 0.854 0.500
As: 0.149 0.351 0.000
As: 0.351 0.851 0.000
As: 0.649 0.149 0.000
As: 0.851 0.649 0.000
Al: 0.500 0.500 0.000
Al: 0.000 0.000 0.000

Computed properties:
The calculation puts the calculated density at 5.4 g cm⁻³. As for the space group: P4/mbm, No. 127. The total magnetization is 0.00 μB/f.u.



*two*
Ti2AlAs2: relaxed, GGA-PBE.

abc: 7.060 7.060 3.421
angles: 90.00 90.00 90.00
Element x y z (fractional)
As: 0.347 0.153 0.500
As: 0.847 0.347 0.500
As: 0.153 0.653 0.500
As: 0.653 0.847 0.500
Al: 0.000 0.000 0.000
Al: 0.500 0.500 0.000
Ti: 0.355 0.855 0.000
Ti: 0.855 0.645 0.000
Ti: 0.645 0.145 0.000
Ti: 0.145 0.355 0.000

Computed properties:
The calculation puts the calculated density at 5.3 g cm⁻³. As for the space group: P4/mbm, No. 127. The total magnetization is 0.00 μB/f.u.



Stability, highest: *one*